This record from the Alexandria database describes a relaxed V2FeCu crystal. The functional is PBE-GGA.

Values from the calculation:
- N(E_F): 0.837 states/eV per atom
- ΔE_f: 0.055 eV per atom
- Magnetization: 0.2 Bohr magnetons per cell
- Crystal system: tetragonal

a b c (Å): 3.6412 3.6412 3.6645
angles (deg): 90.00 90.00 90.00
Closest atoms and distances in Å follow each position.
Space group P4/mmm (No. 123)
Inequivalent atoms, fractional coordinates:
V 0.0000 0.5000 0.0000 (multiplicity 2)  4 V 2.57, 4 Fe 2.58, 4 Cu 2.58
Fe 0.0000 0.0000 0.5000 (multiplicity 1)  4 Cu 2.57, 8 V 2.58
Cu 0.5000 0.5000 0.5000 (multiplicity 1)  4 Fe 2.57, 8 V 2.58